(1)
A geometry-optimized Cu2Ge structure, computed with PBE-GGA.

Lattice parameters (Å, degrees): 4.9412 4.9412 4.9412 60.00 60.00 60.00
With the nearest neighbours (Å) after each atom.
Sites, in units of the cell vectors:
Cu: 0.1250 0.6250 0.6250  6 Cu 2.47
Cu: 0.6250 0.1250 0.6250  6 Cu 2.47
Cu: 0.6250 0.6250 0.6250  6 Cu 2.47
Cu: 0.6250 0.6250 0.1250  6 Cu 2.47
Ge: 0.0000 0.0000 0.0000  12 Cu 2.90, 4 Ge 3.03
Ge: 0.2500 0.2500 0.2500  12 Cu 2.90, 4 Ge 3.03

Values from the calculation:
As for the mass density: 7.78 g cm⁻³. For the formation energy, the calculation gives 149.4 meV per atom. The total energy is -4.1205 eV/atom. As for the space group: No. 227.



(2)
A geometry-optimized Cu2Ge3 structure, computed with PBE-GGA.

Lattice parameters (Å, degrees): 6.4527 6.4527 6.0912 58.02 58.02 60.00
With the nearest neighbours (Å) after each atom.
Sites, in units of the cell vectors:
Ge: 0.4053 0.0947 0.7500  4 Cu 2.41-2.55
Ge: 0.2500 0.5947 0.2500  4 Cu 2.41-2.55
Ge: 0.5947 0.9053 0.2500  4 Cu 2.41-2.55
Ge: 0.7500 0.4053 0.7500  4 Cu 2.41-2.55
Ge: 0.9053 0.2500 0.2500  4 Cu 2.41-2.55
Ge: 0.0947 0.7500 0.7500  4 Cu 2.41-2.55
Cu: 0.8363 0.8363 0.4910  6 Ge 2.41-2.55, 1 Cu 2.50
Cu: 0.3363 0.3363 0.9910  6 Ge 2.41-2.55, 1 Cu 2.50
Cu: 0.6637 0.6637 0.0090  6 Ge 2.41-2.55, 1 Cu 2.50
Cu: 0.1637 0.1637 0.5090  6 Ge 2.41-2.55, 1 Cu 2.50

Values from the calculation:
As for the mass density: 6.59 g cm⁻³. For the formation energy, the calculation gives 190.2 meV per atom. The total energy is -4.2186 eV/atom. As for the space group: No. 167.



(3)
A geometry-optimized Cu4Ge structure, computed with PBE-GGA.

Lattice parameters (Å, degrees): 3.9915 5.0777 7.1050 110.94 106.31 90.00
With the nearest neighbours (Å) after each atom.
Sites, in units of the cell vectors:
Cu: 0.6951 0.1996 0.3902  7 Cu 2.43-2.59, 2 Ge 2.62
Cu: 0.8911 0.6411 0.7823  3 Ge 2.54-2.74, 10 Cu 2.59-2.78
Cu: 0.5000 0.0000 0.0000  8 Cu 2.47-2.74, 4 Ge 2.73
Cu: 0.6951 0.6905 0.3902  7 Cu 2.43-2.59, 2 Ge 2.62
Cu: 0.5000 0.5000 0.0000  8 Cu 2.47-2.74, 4 Ge 2.73
Cu: 0.3049 0.3095 0.6098  7 Cu 2.43-2.59, 2 Ge 2.62
Cu: 0.3049 0.8004 0.6098  7 Cu 2.43-2.59, 2 Ge 2.62
Cu: 0.1089 0.3589 0.2177  3 Ge 2.54-2.74, 10 Cu 2.59-2.78
Ge: 0.1077 0.8577 0.2155  13 Cu 2.54-2.81
Ge: 0.8923 0.1423 0.7845  13 Cu 2.54-2.81

Values from the calculation:
As for the mass density: 8.46 g cm⁻³. For the formation energy, the calculation gives 45.5 meV per atom. The total energy is -4.1549 eV/atom. As for the space group: No. 74.